1.
Ho2ErMg3Tl2Hg | OQMD | PBE-GGA | optimized geometry; total moment = 0.0 μB per formula unit; calculated total energy = -26.63 eV/cell
1.0
-4.0557 0.8508 -1.9435
-2.4183 -6.7689 2.0832
-0.9475 5.8686 4.5462
Hg Tl Ho Mg Er
1 2 2 3 1
direct
0.0000 0.0002 0.0002 Hg
0.5000 0.3334 0.6665 Tl
0.5000 0.6665 0.3334 Tl
0.0000 0.5760 0.0000 Ho
0.0000 0.0000 0.5760 Ho
0.5000 0.0000 0.2395 Mg
0.5000 0.2395 0.0000 Mg
0.5000 0.7604 0.7604 Mg
0.0000 0.4239 0.4239 Er

=====

2.
ErSnNO | OQMD | PBE-GGA | optimized geometry; total moment = 0.0 μB per formula unit; calculated total energy = -52.12 eV/cell
1.0
-2.3785 1.0746 -3.2720
-1.5716 -3.8770 -0.1308
-5.3968 2.0328 4.5906
O N Sn Er
2 2 2 2
direct
0.2500 0.7500 0.0000 O
0.7500 0.2500 0.0000 O
0.7500 0.7500 0.3498 N
0.2500 0.2500 0.6502 N
0.7500 0.2500 0.5000 Sn
0.2500 0.7500 0.5000 Sn
0.2500 0.2500 0.1143 Er
0.7500 0.7500 0.8857 Er

=====

3.
Sc2Si3W4N3 | OQMD | PBE-GGA | optimized geometry; total moment = 0.0 μB per formula unit; calculated total energy = -222.39 eV/cell
1.0
4.5860 -2.6697 0.0000
4.5860 2.6697 0.0000
-3.1290 0.0000 12.8965
Si W N Sc
6 8 6 4
direct
0.0602 0.9398 0.2500 Si
0.5843 0.8829 0.2494 Si
0.9398 0.0602 0.7500 Si
0.1171 0.4157 0.2506 Si
0.4157 0.1171 0.7506 Si
0.8829 0.5843 0.7494 Si
0.1235 0.3006 0.9135 W
0.9514 0.8156 0.4138 W
0.8156 0.9514 0.9138 W
0.3006 0.1235 0.4135 W
0.1844 0.0486 0.0862 W
0.6994 0.8765 0.5865 W
0.0486 0.1844 0.5862 W
0.8765 0.6994 0.0865 W
0.1999 0.6509 0.0002 N
0.0000 0.5000 0.5000 N
0.6509 0.1999 0.5002 N
0.5000 0.0000 0.0000 N
0.3491 0.8001 0.4998 N
0.8001 0.3491 0.9998 N
0.5370 0.3748 0.1126 Sc
0.4630 0.6252 0.8874 Sc
0.3748 0.5370 0.6126 Sc
0.6252 0.4630 0.3874 Sc

=====

4.
PmDyNp | OQMD | PBE-GGA | optimized geometry; total moment = 5.5 μB per formula unit; calculated total energy = -18.63 eV/cell; calculated formation energy = 1161 meV per atom
1.0
-4.5014 -0.7123 2.4358
-3.4180 3.8644 0.2950
-4.3955 -0.2260 -2.7076
Np Pm Dy
1 1 1
direct
0.7500 0.7500 0.7500 Np
0.0000 0.0000 0.0000 Pm
0.2500 0.2500 0.2500 Dy

=====

5.
SrHoAlTe3 | OQMD | PBE-GGA | optimized geometry; total moment = 0.0 μB per formula unit; calculated total energy = -50.10 eV/cell
1.0
2.1725 -7.9264 0.0000
2.1725 7.9264 0.0000
0.0000 0.0000 10.7508
Te Sr Ho Al
6 2 2 2
direct
0.8936 0.1064 0.2500 Te
0.3625 0.6375 0.5520 Te
0.1064 0.8936 0.7500 Te
0.3625 0.6375 0.9480 Te
0.6375 0.3625 0.4480 Te
0.6375 0.3625 0.0520 Te
0.7720 0.2280 0.7500 Sr
0.2280 0.7720 0.2500 Sr
0.0000 0.0000 0.5000 Ho
0.0000 0.0000 0.0000 Ho
0.4833 0.5167 0.7500 Al
0.5167 0.4833 0.2500 Al

=====

6.
LiHfTlNi | OQMD | PBE-GGA | optimized geometry; total moment = 0.0 μB per formula unit; calculated total energy = -20.55 eV/cell
1.0
-0.4996 -4.1403 -1.6580
-1.3497 -3.3408 2.6754
-4.1072 -1.7427 -0.4842
Tl Hf Li Ni
1 1 1 1
direct
0.0000 0.0000 0.0000 Tl
0.5000 0.5000 0.5000 Hf
0.2500 0.2500 0.2500 Li
0.7500 0.7500 0.7500 Ni

=====

7.
Y5Te3Ir | OQMD | PBE-GGA | optimized geometry; total moment = 1.6 μB per formula unit; calculated total energy = -57.30 eV/cell
1.0
8.7155 0.0000 0.0000
-4.3577 7.5478 0.0000
0.0000 0.0000 3.7983
Ir Y Te
1 5 3
direct
0.0000 0.0000 0.0000 Ir
0.2320 0.0000 0.5000 Y
0.0000 0.2320 0.5000 Y
0.3333 0.6667 0.5000 Y
0.7680 0.7680 0.5000 Y
0.6667 0.3333 0.5000 Y
0.4375 0.4375 0.0000 Te
0.0000 0.5625 0.0000 Te
0.5625 0.0000 0.0000 Te

=====

8.
BMo2 | OQMD | PBE-GGA | optimized geometry; total moment = 0.0 μB per formula unit; calculated total energy = -47.05 eV/cell
1.0
4.2538 -2.6727 0.5724
-0.1963 -5.0476 0.2224
1.7804 -2.7708 -3.8365
Mo B
4 2
direct
0.6250 0.6250 0.6250 Mo
0.6250 0.6250 0.1250 Mo
0.1250 0.6250 0.6250 Mo
0.6250 0.1250 0.6250 Mo
0.0000 0.0000 0.0000 B
0.2500 0.2500 0.2500 B

=====

9.
NdCuSnTe2S | OQMD | PBE-GGA | optimized geometry; total moment = 0.0 μB per formula unit; calculated total energy = -54.95 eV/cell
1.0
1.6408 4.9013 5.4003
-5.3241 -3.4691 -3.9367
-0.1971 -7.8388 7.1745
Te Cu S Sn Nd
4 2 2 2 2
direct
0.8467 0.1533 0.9274 Te
0.8467 0.1533 0.5726 Te
0.1533 0.8467 0.0726 Te
0.1533 0.8467 0.4274 Te
0.0200 0.9800 0.2500 Cu
0.9800 0.0200 0.7500 Cu
0.4312 0.5688 0.2500 S
0.5688 0.4312 0.7500 S
0.7710 0.2290 0.2500 Sn
0.2290 0.7710 0.7500 Sn
0.5000 0.5000 0.0000 Nd
0.5000 0.5000 0.5000 Nd

=====

10.
TbDyAs2Pt2 | OQMD | PBE-GGA | optimized geometry; total moment = 0.0 μB per formula unit; calculated total energy = -76.13 eV/cell
1.0
4.2957 0.0000 0.0000
-2.1479 3.7202 0.0000
0.0000 0.0000 15.2755
Pt Dy Tb As
4 2 2 4
direct
0.6667 0.3333 0.1359 Pt
0.6667 0.3333 0.3641 Pt
0.3333 0.6667 0.8641 Pt
0.3333 0.6667 0.6359 Pt
0.0000 0.0000 0.2500 Dy
0.0000 0.0000 0.7500 Dy
0.0000 0.0000 0.5000 Tb
0.0000 0.0000 0.0000 Tb
0.6667 0.3333 0.8840 As
0.6667 0.3333 0.6160 As
0.3333 0.6667 0.3840 As
0.3333 0.6667 0.1160 As

=====

11.
K2ZrF6 | OQMD | PBE-GGA | optimized geometry; total moment = 0.0 μB per formula unit; calculated total energy = -102.23 eV/cell
1.0
-0.4533 -5.6075 0.1751
1.7365 2.8263 4.5471
-8.4045 0.7648 2.7342
K F Zr
4 12 2
direct
0.0000 0.0000 0.1463 K
0.0000 0.0000 0.6463 K
0.6667 0.3333 0.3827 K
0.3333 0.6667 0.8827 K
0.1545 0.3091 0.3824 F
0.6909 0.8455 0.3824 F
0.8455 0.6909 0.8824 F
0.0047 0.5024 0.6317 F
0.4976 0.5024 0.6317 F
0.5024 0.4976 0.1317 F
0.9953 0.4976 0.1317 F
0.3091 0.1545 0.8824 F
0.8455 0.1545 0.8824 F
0.1545 0.8455 0.3824 F
0.4976 0.9953 0.6317 F
0.5024 0.0047 0.1317 F
0.3333 0.6667 0.4901 Zr
0.6667 0.3333 0.9901 Zr

=====

12.
GdMgZn | OQMD | PBE-GGA | optimized geometry; total moment = 0.0 μB per formula unit; calculated total energy = -16.49 eV/cell
1.0
5.0338 0.0000 0.0000
-2.5169 4.3594 0.0000
0.0000 0.0000 6.2274
Gd Zn Mg
2 2 2
direct
0.6667 0.3333 0.9918 Gd
0.3333 0.6667 0.4493 Gd
0.3333 0.6667 0.9370 Zn
0.6667 0.3333 0.5042 Zn
0.0000 0.0000 0.7206 Mg
0.0000 0.0000 0.2206 Mg